Material: TcNi2Hg
Method: DFT, GGA-PBE
State: optimized geometry

Cell and atoms, written as CIF:
```
data_TcNi2Hg
_chemical_formula_sum 'Tc1 Ni2 Hg1'
_cell_length_a 2.743
_cell_length_b 3.569
_cell_length_c 5.859
_cell_angle_alpha 90.00
_cell_angle_beta 90.11
_cell_angle_gamma 90.00
_symmetry_space_group_name_H-M 'P 1 2/m 1'
_symmetry_Int_Tables_number 10
loop_
_symmetry_equiv_pos_as_xyz
'x,y,z'
'-x,-y,-z'
'-x,y,-z'
'x,-y,z'
loop_
_atom_site_label
_atom_site_type_symbol
_atom_site_fract_x
_atom_site_fract_y
_atom_site_fract_z
Tc1 Tc 0.000 0.000 0.000
Ni1 Ni 0.500 0.500 0.210
Hg1 Hg 0.000 0.000 0.500
```

Summary:
total moment	0.00	μB/f.u.
formation energy	5.1	kcal/mol of atoms
total energy	-5.336	eV per atom

---

Material: PmPr8Tm4
Method: DFT, GGA-PBE
State: optimized geometry

Cell and atoms, written as CIF:
```
data_PmPr8Tm4
_chemical_formula_sum 'Pm3 Pr24 Tm12'
_cell_length_a 7.3305
_cell_length_b 7.3305
_cell_length_c 28.9712
_cell_angle_alpha 90.00
_cell_angle_beta 90.00
_cell_angle_gamma 120.00
_symmetry_space_group_name_H-M 'R -3 m'
_symmetry_Int_Tables_number 166
_symmetry_space_group_name_Hall '-R 3 2"'
loop_
_atom_site_label
_atom_site_type_symbol
_atom_site_fract_x
_atom_site_fract_y
_atom_site_fract_z
Pm1 Pm 0.0000 0.0000 0.0000
Pr1 Pr 0.0000 0.0000 0.2860
Pr2 Pr 0.0305 0.5153 0.2635
Tm1 Tm 0.0000 0.0000 0.5000
Tm2 Tm 0.0000 0.5000 0.5000
```

Summary:
total moment	0.00	μB/f.u.
formation energy	4.2	kcal/mol of atoms
total energy	-4.501	eV per atom

---

> Number 2 is which compound?

PmPr8Tm4